No. 1
DFT (PBE-GGA) results for crystalline KLiFe2Br6 at its relaxed geometry.

Output
- calculated volume (Å³ per atom) = 30.81
- raw formation energy (meV/atom) = -878
- DFT total energy (eV for the cell shown) = -77.5

Cell lengths 9.313, 9.313, 7.494 Å; angles 102.84, 102.84, 83.31 degrees
Sites, in units of the cell vectors:
K1 0.190 0.810 0.750
K2 0.810 0.190 0.250
Li1 0.406 0.594 0.250
Li2 0.594 0.406 0.750
Fe1 0.119 0.307 0.772
Fe2 0.307 0.119 0.272
Fe3 0.693 0.881 0.728
Fe4 0.881 0.693 0.228
Br1 0.102 0.171 0.015
Br2 0.126 0.588 0.330
Br3 0.171 0.102 0.515
Br4 0.311 0.478 0.873
Br5 0.412 0.874 0.170
Br6 0.478 0.311 0.373
Br7 0.522 0.689 0.627
Br8 0.588 0.126 0.830
Br9 0.689 0.522 0.127
Br10 0.829 0.898 0.485
Br11 0.874 0.412 0.670
Br12 0.898 0.829 0.985



No. 2
DFT (PBE-GGA) results for crystalline LiCaIN2 at its relaxed geometry.

Output
- calculated volume (Å³ per atom) = 28.40
- raw formation energy (meV/atom) = 682
- DFT total energy (eV for the cell shown) = -18.7

Cell lengths 4.685, 4.685, 6.470 Å; angles 90.00, 90.00, 90.00 degrees
Sites, in units of the cell vectors:
Li1 0.000 0.000 0.000
Ca1 0.500 0.500 0.500
I1 0.500 0.500 0.000
N1 0.000 0.500 0.500
N2 0.500 0.000 0.500



No. 3
DFT (PBE-GGA) results for crystalline Ac2Mg2Ga at its relaxed geometry.

Output
- calculated formation energy (meV/atom) = -39
- calculated volume (Å³ per atom) = 32.51
- DFT total energy (eV for the cell shown) = -14.6

Cell lengths 10.566, 10.566, 10.566 Å; angles 158.20, 158.20, 31.02 degrees
Sites, in units of the cell vectors:
Ac1 0.092 0.092 0.000
Ac2 0.908 0.908 0.000
Mg1 0.250 0.750 0.500
Mg2 0.750 0.250 0.500
Ga1 0.500 0.500 0.000



No. 4
DFT (PBE-GGA) results for crystalline YSc2Ni at its relaxed geometry.

Output
- calculated formation energy (meV/atom) = 86
- calculated volume (Å³ per atom) = 24.13
- DFT total energy (eV for the cell shown) = -24.6

Cell lengths 10.210, 10.210, 10.210 Å; angles 18.79, 18.79, 18.79 degrees
Sites, in units of the cell vectors:
Y1 0.000 0.000 0.000
Sc1 0.110 0.110 0.110
Sc2 0.890 0.890 0.890
Ni1 0.500 0.500 0.500



No. 5
DFT (PBE-GGA) results for crystalline GdDyTmIn at its relaxed geometry.

Output
- calculated formation energy (meV/atom) = -157
- calculated volume (Å³ per atom) = 28.39
- DFT total energy (eV for the cell shown) = -26.5

Cell lengths 5.436, 5.436, 5.436 Å; angles 60.00, 60.00, 60.00 degrees
Sites, in units of the cell vectors:
Gd1 0.000 0.000 0.000
Dy1 0.500 0.500 0.500
Tm1 0.250 0.250 0.250
In1 0.750 0.750 0.750



No. 6
DFT (PBE-GGA) results for crystalline Co2ReMo2 at its relaxed geometry.

Output
- calculated formation energy (meV/atom) = 120
- calculated volume (Å³ per atom) = 13.51
- DFT total energy (eV for the cell shown) = -95.4

Cell lengths 6.630, 6.630, 3.074 Å; angles 90.00, 90.00, 90.00 degrees
Sites, in units of the cell vectors:
Co1 0.123 0.377 0.000
Co2 0.377 0.877 0.000
Co3 0.623 0.123 0.000
Co4 0.877 0.623 0.000
Re1 0.000 0.000 0.000
Re2 0.500 0.500 0.000
Mo1 0.176 0.676 0.500
Mo2 0.324 0.176 0.500
Mo3 0.676 0.824 0.500
Mo4 0.824 0.324 0.500



DFT total energy of number 2 (LiCaIN2)? -18.7 eV for the cell shown